PBE ZrNb, optimized geometry; total magnetization = 0.00 μB/cell; energy relative to the elements = 99.5 kJ/mol of formula units
1.0
-3.109 -5.183 8.566
6.727 -5.335 -0.786
4.255 4.717 4.399
Zr Nb
16 16
direct
0.000 0.181 0.000
0.000 0.819 0.000
0.250 0.569 0.250
0.250 0.931 0.250
0.000 0.681 0.500
0.000 0.319 0.500
0.250 0.069 0.750
0.250 0.431 0.750
0.500 0.181 0.500
0.500 0.819 0.500
0.750 0.569 0.750
0.750 0.931 0.750
0.500 0.681 0.000
0.500 0.319 0.000
0.750 0.069 0.250
0.750 0.431 0.250
0.000 0.000 0.334
0.000 0.000 0.666
0.250 0.750 0.916
0.250 0.750 0.584
0.000 0.500 0.834
0.000 0.500 0.166
0.250 0.250 0.416
0.250 0.250 0.084
0.500 0.000 0.834
0.500 0.000 0.166
0.750 0.750 0.416
0.750 0.750 0.084
0.500 0.500 0.334
0.500 0.500 0.666
0.750 0.250 0.916
0.750 0.250 0.584

=====

PBE SiNi, optimized geometry; total magnetization = 0.00 μB/cell; formation energy from raw total energies = -27 kJ per mole of atoms
1.0
2.692 0.000 0.013
0.000 2.573 0.000
-0.431 0.000 3.322
Ni Si
1 1
direct
0.000 0.000 0.000
0.500 0.500 0.500

=====

Electronic total energy (eV per atom)
-8.79 -5.89